Entry 1:
Ce2Ge4Pd3Pt | PBE-GGA | relaxed

Lattice parameters (Å, degrees): 4.3634 4.3634 10.0766 90.00 90.00 90.00
Last column: nearest neighbours and their distance in Å.
Fractional positions:
Ce (0.0000, 0.5000, 0.2492)  8 Ge 3.31-3.33, 6 Pd 3.33-3.34, 2 Pt 3.34
Ce (0.5000, 0.0000, 0.7508)  8 Ge 3.31-3.33, 6 Pd 3.33-3.34, 2 Pt 3.34
Ge (0.0000, 0.0000, 0.0000)  4 Pd 2.52
Ge (0.0000, 0.5000, 0.6311)  3 Pd 2.45-2.55, 2 Pt 2.55
Ge (0.5000, 0.0000, 0.3689)  3 Pd 2.45-2.55, 2 Pt 2.55
Ge (0.5000, 0.5000, 0.0000)  4 Pd 2.52
Pd (0.0000, 0.5000, 0.8740)  5 Ge 2.45-2.52
Pd (0.5000, 0.0000, 0.1260)  5 Ge 2.45-2.52
Pd (0.5000, 0.5000, 0.5000)  4 Ge 2.55
Pt (0.0000, 0.0000, 0.5000)  4 Ge 2.55

* formation energy from the elements: -0.806 eV per atom
* calculated density: 9.39 g cm⁻³
* VASP energy: -6.002 eV per atom
* total magnetic moment: 1.27 μB/f.u.
* space group: P-4m2

Entry 2:
CeGePdPt | PBE-GGA | relaxed

Lattice parameters (Å, degrees): 4.0070 4.0070 9.9375 90.00 90.00 90.00
Last column: nearest neighbours and their distance in Å.
Fractional positions:
Ce (0.2500, 0.2500, 0.2103)  5 Pt 2.98-3.08, 4 Ge 3.14
Ce (0.7500, 0.7500, 0.7897)  5 Pt 2.98-3.08, 4 Ge 3.14
Ge (0.2500, 0.2500, 0.6528)  4 Pd 2.51, 1 Pt 2.56
Ge (0.7500, 0.7500, 0.3472)  4 Pd 2.51, 1 Pt 2.56
Pd (0.2500, 0.7500, 0.5000)  4 Ge 2.51
Pd (0.7500, 0.2500, 0.5000)  4 Ge 2.51
Pt (0.2500, 0.2500, 0.9107)  1 Ge 2.56
Pt (0.7500, 0.7500, 0.0893)  1 Ge 2.56

* formation energy from the elements: -0.814 eV per atom
* calculated density: 10.70 g cm⁻³
* VASP energy: -6.260 eV per atom
* total magnetic moment: 0.67 μB/f.u.
* space group: P4/nmm

Entry 3:
CeGe2PdPt2 | PBE-GGA | relaxed

Lattice parameters (Å, degrees): 4.3742 4.3742 6.6816 90.00 90.00 120.00
Last column: nearest neighbours and their distance in Å.
Fractional positions:
Ce (0.0000, 0.0000, 0.0000)  6 Pt 3.20, 6 Ge 3.23, 2 Pd 3.34
Ge (0.3333, 0.6667, 0.3017)  4 Pt 2.53-2.71
Ge (0.6667, 0.3333, 0.6983)  4 Pt 2.53-2.71
Pd (0.0000, 0.0000, 0.5000)  6 Ge 2.85, 6 Pt 2.88
Pt (0.3333, 0.6667, 0.7068)  4 Ge 2.53-2.71
Pt (0.6667, 0.3333, 0.2932)  4 Ge 2.53-2.71

* formation energy from the elements: -0.795 eV per atom
* calculated density: 11.73 g cm⁻³
* VASP energy: -6.202 eV per atom
* total magnetic moment: 0.71 μB/f.u.
* space group: P-3m1

Entry 4:
CeGe2PdPt5 | PBE-GGA | relaxed

Lattice parameters (Å, degrees): 4.0989 4.0989 9.5093 90.00 90.00 90.00
Last column: nearest neighbours and their distance in Å.
Fractional positions:
Ce (0.0000, 0.0000, 0.0000)  12 Pt 2.90-2.97
Ge (0.5000, 0.5000, 0.3755)  1 Ge 2.37, 4 Pt 2.49
Ge (0.5000, 0.5000, 0.6245)  1 Ge 2.37, 4 Pt 2.49
Pd (0.0000, 0.0000, 0.5000)  8 Ge 3.13, 8 Pt 3.31
Pt (0.0000, 0.5000, 0.2263)  2 Ge 2.49
Pt (0.0000, 0.5000, 0.7737)  2 Ge 2.49
Pt (0.5000, 0.0000, 0.2263)  2 Ge 2.49
Pt (0.5000, 0.0000, 0.7737)  2 Ge 2.49
Pt (0.5000, 0.5000, 0.0000)  4 Ce 2.90, 8 Pt 2.97

* formation energy from the elements: -0.563 eV per atom
* calculated density: 14.21 g cm⁻³
* VASP energy: -6.181 eV per atom
* total magnetic moment: 0.22 μB/f.u.
* space group: P4/mmm

Entry 5:
CePu2Ge2Pd2 | PBE-GGA | relaxed

Lattice parameters (Å, degrees): 8.6676 8.6676 8.6676 30.48 30.48 30.48
Last column: nearest neighbours and their distance in Å.
Fractional positions:
Ce (0.0000, 0.0000, 0.0000)  6 Ge 3.17, 6 Pd 3.24, 2 Pu 3.33
Pu (0.1343, 0.1343, 0.1343)  3 Pd 3.00, 4 Ge 3.06-3.16, 3 Pu 3.08, 1 Ce 3.33
Pu (0.8657, 0.8657, 0.8657)  3 Pd 3.00, 4 Ge 3.06-3.16, 3 Pu 3.08, 1 Ce 3.33
Ge (0.2618, 0.2618, 0.2618)  3 Pd 2.63
Ge (0.7382, 0.7382, 0.7382)  3 Pd 2.63
Pd (0.4098, 0.4098, 0.4098)  3 Ge 2.63
Pd (0.5902, 0.5902, 0.5902)  3 Ge 2.63

* formation energy from the elements: -0.631 eV per atom
* calculated density: 11.03 g cm⁻³
* VASP energy: -8.376 eV per atom
* total magnetic moment: 11.95 μB/f.u.
* space group: R-3m

Entry 6:
Ce2PuGe2Pd2 | PBE-GGA | relaxed

Lattice parameters (Å, degrees): 8.9450 8.9450 8.9450 28.97 28.97 28.97
Last column: nearest neighbours and their distance in Å.
Fractional positions:
Ce (0.1387, 0.1387, 0.1387)  3 Pd 2.93, 3 Ce 2.96, 4 Ge 3.15-3.24
Ce (0.8613, 0.8613, 0.8613)  3 Pd 2.93, 3 Ce 2.96, 4 Ge 3.15-3.24
Pu (0.0000, 0.0000, 0.0000)  6 Ge 3.12, 6 Pd 3.38
Ge (0.2650, 0.2650, 0.2650)  3 Pd 2.62
Ge (0.7350, 0.7350, 0.7350)  3 Pd 2.62
Pd (0.4179, 0.4179, 0.4179)  3 Ge 2.62
Pd (0.5821, 0.5821, 0.5821)  3 Ge 2.62

* formation energy from the elements: -0.633 eV per atom
* calculated density: 9.87 g cm⁻³
* VASP energy: -7.179 eV per atom
* total magnetic moment: 6.40 μB/f.u.
* space group: R-3m

Entry 7:
CePu4Ge2Pd | PBE-GGA | relaxed

Lattice parameters (Å, degrees): 8.5198 8.5198 8.5198 33.16 33.16 33.16
Last column: nearest neighbours and their distance in Å.
Fractional positions:
Ce (0.0000, 0.0000, 0.0000)  2 Pu 2.93, 6 Ge 3.14
Pu (0.1213, 0.1213, 0.1213)  4 Pu 2.67-2.85, 1 Ce 2.93
Pu (0.2320, 0.2320, 0.2320)  4 Pu 2.67-2.85
Pu (0.7680, 0.7680, 0.7680)  4 Pu 2.67-2.85
Pu (0.8787, 0.8787, 0.8787)  4 Pu 2.67-2.85, 1 Ce 2.93
Ge (0.3914, 0.3914, 0.3914)  1 Pd 2.62
Ge (0.6086, 0.6086, 0.6086)  1 Pd 2.62
Pd (0.5000, 0.5000, 0.5000)  2 Ge 2.62

* formation energy from the elements: -0.331 eV per atom
* calculated density: 13.79 g cm⁻³
* VASP energy: -10.042 eV per atom
* total magnetic moment: 1.01 μB/f.u.
* space group: R-3m

Entry 8:
Ce2PuGe3Pd4 | PBE-GGA | relaxed

Lattice parameters (Å, degrees): 4.3259 4.3259 11.0308 90.00 90.00 90.00
Last column: nearest neighbours and their distance in Å.
Fractional positions:
Ce (0.0000, 0.5000, 0.2320)  8 Pd 3.29-3.35, 6 Ge 3.30-3.66, 2 Pu 3.66
Ce (0.5000, 0.0000, 0.7680)  8 Pd 3.29-3.35, 6 Ge 3.30-3.66, 2 Pu 3.66
Pu (0.0000, 0.0000, 0.5000)  4 Pd 2.78, 4 Ge 3.06
Ge (0.0000, 0.5000, 0.8801)  5 Pd 2.45-2.54
Ge (0.5000, 0.0000, 0.1199)  5 Pd 2.45-2.54
Ge (0.5000, 0.5000, 0.5000)  4 Pd 2.78, 4 Pu 3.06
Pd (0.0000, 0.0000, 0.0000)  4 Ge 2.54
Pd (0.0000, 0.5000, 0.6584)  1 Ge 2.45
Pd (0.5000, 0.0000, 0.3416)  1 Ge 2.45
Pd (0.5000, 0.5000, 0.0000)  4 Ge 2.54

* formation energy from the elements: -0.688 eV per atom
* calculated density: 9.39 g cm⁻³
* VASP energy: -6.770 eV per atom
* total magnetic moment: 7.26 μB/f.u.
* space group: P-4m2

Entry 9:
CePuGePd | PBE-GGA | relaxed

Lattice parameters (Å, degrees): 7.1697 7.1697 7.1697 90.00 90.00 90.00
Last column: nearest neighbours and their distance in Å.
Fractional positions:
Ce (0.0000, 0.0000, 0.0000)  4 Ge 3.10, 4 Pd 3.10
Ce (0.0000, 0.5000, 0.5000)  4 Ge 3.10, 4 Pd 3.10
Ce (0.5000, 0.0000, 0.5000)  4 Ge 3.10, 4 Pd 3.10
Ce (0.5000, 0.5000, 0.0000)  4 Ge 3.10, 4 Pd 3.10
Pu (0.0000, 0.0000, 0.5000)  4 Pd 3.10, 4 Ge 3.10
Pu (0.0000, 0.5000, 0.0000)  4 Pd 3.10, 4 Ge 3.10
Pu (0.5000, 0.0000, 0.0000)  4 Pd 3.10, 4 Ge 3.10
Pu (0.5000, 0.5000, 0.5000)  4 Pd 3.10, 4 Ge 3.10
Ge (0.2500, 0.2500, 0.7500)  4 Pu 3.10, 4 Ce 3.10
Ge (0.2500, 0.7500, 0.2500)  4 Pu 3.10, 4 Ce 3.10
Ge (0.7500, 0.2500, 0.2500)  4 Pu 3.10, 4 Ce 3.10
Ge (0.7500, 0.7500, 0.7500)  4 Pu 3.10, 4 Ce 3.10
Pd (0.2500, 0.2500, 0.2500)  4 Ce 3.10, 4 Pu 3.10
Pd (0.2500, 0.7500, 0.7500)  4 Ce 3.10, 4 Pu 3.10
Pd (0.7500, 0.2500, 0.7500)  4 Ce 3.10, 4 Pu 3.10
Pd (0.7500, 0.7500, 0.2500)  4 Ce 3.10, 4 Pu 3.10

* formation energy from the elements: -0.496 eV per atom
* calculated density: 10.15 g cm⁻³
* VASP energy: -8.015 eV per atom
* total magnetic moment: 6.24 μB/f.u.
* ΔE to the lowest computed polymorph: 0.000 eV per formula unit
* space group: F-43m

Entry 10:
CePuGePd | PBE-GGA | relaxed

Lattice parameters (Å, degrees): 3.4814 3.4814 13.7352 90.00 90.00 90.00
Last column: nearest neighbours and their distance in Å.
Fractional positions:
Ce (0.2500, 0.2500, 0.1957)  4 Pd 2.91, 4 Ge 3.23
Ce (0.7500, 0.7500, 0.8043)  4 Pd 2.91, 4 Ge 3.23
Pu (0.2500, 0.7500, 0.5000)  4 Pu 2.46
Pu (0.7500, 0.2500, 0.5000)  4 Pu 2.46
Ge (0.2500, 0.2500, 0.9570)  4 Ge 2.73
Ge (0.7500, 0.7500, 0.0430)  4 Ge 2.73
Pd (0.2500, 0.2500, 0.6907)  4 Ce 2.91, 4 Pu 3.14
Pd (0.7500, 0.7500, 0.3093)  4 Ce 2.91, 4 Pu 3.14

* formation energy from the elements: -0.107 eV per atom
* calculated density: 11.23 g cm⁻³
* VASP energy: -7.626 eV per atom
* total magnetic moment: 0.47 μB/f.u.
* ΔE to the lowest computed polymorph: 1.557 eV per formula unit
* space group: P4/nmm

Entry 11:
Ce3Ge9Pd2Rh | PBE-GGA | relaxed

Lattice parameters (Å, degrees): 7.5277 7.5277 7.0090 90.00 90.00 120.00
Last column: nearest neighbours and their distance in Å.
Fractional positions:
Ce (0.0000, 0.0000, 0.0000)  6 Ge 2.89
Ce (0.3333, 0.6667, 0.6974)  1 Pd 3.02, 3 Ge 3.04
Ce (0.6667, 0.3333, 0.3026)  1 Pd 3.02, 3 Ge 3.04
Ge (0.0000, 0.5000, 0.0000)  2 Pd 2.87, 2 Ce 3.04, 4 Ge 3.09
Ge (0.1532, 0.3063, 0.2989)  1 Pd 2.36, 1 Rh 2.44
Ge (0.1532, 0.8468, 0.2989)  1 Pd 2.36, 1 Rh 2.44
Ge (0.3063, 0.1532, 0.7011)  1 Pd 2.36, 1 Rh 2.44
Ge (0.5000, 0.0000, 0.0000)  2 Pd 2.87, 2 Ce 3.04, 4 Ge 3.09
Ge (0.5000, 0.5000, 0.0000)  2 Pd 2.87, 2 Ce 3.04, 4 Ge 3.09
Ge (0.6937, 0.8468, 0.2989)  1 Pd 2.36, 1 Rh 2.44
Ge (0.8468, 0.1532, 0.7011)  1 Pd 2.36, 1 Rh 2.44
Ge (0.8468, 0.6937, 0.7011)  1 Pd 2.36, 1 Rh 2.44
Pd (0.3333, 0.6667, 0.2669)  3 Ge 2.36
Pd (0.6667, 0.3333, 0.7331)  3 Ge 2.36
Rh (0.0000, 0.0000, 0.5000)  6 Ge 2.44

* formation energy from the elements: -0.217 eV per atom
* calculated density: 6.71 g cm⁻³
* VASP energy: -5.356 eV per atom
* total magnetic moment: 1.32 μB/f.u.
* space group: P-3m1